Entry from Alexandria via LeMat-Bulk: a relaxed structure of Ba2ZnMoO6 (GGA+U).

Its total energy is -6.37 eV/atom. The magnetic moment comes out at 0.00 μB per cell.

It has space group Fm-3m (No. 225), with a = 8.234 Å, b = 8.234 Å, c = 8.234 Å, α = 90.00°, β = 90.00° and γ = 90.00°. The asymmetric unit holds Ba at (0.250, 0.250, 0.250), Zn at (0.000, 0.000, 0.000), Mo at (0.000, 0.000, 0.500) and O at (0.000, 0.000, 0.262).